a:
The following is a PBE calculation of an optimized crystal structure of ZrTaTi2O, from Alexandria.

Cell lengths 4.2226, 4.2226, 4.4152 Å; angles 90.00, 90.00, 90.00 degrees
With the nearest neighbours (Å) after each atom.
Space group P4/mmm (No. 123)
Inequivalent atoms, fractional coordinates:
Zr  0.0000  0.0000  0.0000 [1 per cell]  4 Ta 2.99, 8 Ti 3.05
Ta  0.5000  0.5000  0.0000 [1 per cell]  2 O 2.21
Ti  0.0000  0.5000  0.5000 [2 per cell]  2 O 2.11
O  0.5000  0.5000  0.5000 [1 per cell]  4 Ti 2.11, 2 Ta 2.21

Computed properties:
Magnetization, μB per cell: 0.0

***

b:
The following is a PBE calculation of an optimized crystal structure of ZrTaTi2O, from Alexandria.

Cell lengths 4.1571, 4.1571, 4.5579 Å; angles 90.00, 90.00, 90.00 degrees
With the nearest neighbours (Å) after each atom.
Space group P4/mmm (No. 123)
Inequivalent atoms, fractional coordinates:
Zr  0.0000  0.0000  0.0000 [1 per cell]  2 O 2.28
Ta  0.5000  0.5000  0.0000 [1 per cell]  4 Zr 2.94, 8 Ti 3.08
Ti  0.0000  0.5000  0.5000 [2 per cell]  2 O 2.08
O  0.0000  0.0000  0.5000 [1 per cell]  4 Ti 2.08, 2 Zr 2.28

Computed properties:
Magnetization, μB per cell: 0.0

***

The relative energies come out as a 107; b 0, with values in meV per atom.

***

a:
The following is a PBE calculation of an optimized crystal structure of Zr2TaTiO, from Alexandria.

Cell lengths 4.5503, 4.5503, 4.1772 Å; angles 90.00, 90.00, 90.00 degrees
With the nearest neighbours (Å) after each atom.
Space group P4/mmm (No. 123)
Inequivalent atoms, fractional coordinates:
Zr  0.0000  0.5000  0.0000 [2 per cell]  2 O 2.28
Ta  0.0000  0.0000  0.5000 [1 per cell]  2 O 2.09
Ti  0.5000  0.5000  0.5000 [1 per cell]  8 Zr 3.09, 4 Ta 3.22
O  0.0000  0.0000  0.0000 [1 per cell]  2 Ta 2.09, 4 Zr 2.28

Computed properties:
Magnetization, μB per cell: 0.0

***

b:
The following is a PBE calculation of an optimized crystal structure of Zr2TaTiO, from Alexandria.

Cell lengths 4.5940, 4.5940, 4.0165 Å; angles 90.00, 90.00, 90.00 degrees
With the nearest neighbours (Å) after each atom.
Space group P4/mmm (No. 123)
Inequivalent atoms, fractional coordinates:
Zr  0.0000  0.5000  0.0000 [2 per cell]  2 O 2.30
Ta  0.0000  0.0000  0.5000 [1 per cell]  8 Zr 3.05, 4 Ti 3.25
Ti  0.5000  0.5000  0.5000 [1 per cell]  2 O 2.01
O  0.5000  0.5000  0.0000 [1 per cell]  2 Ti 2.01

Computed properties:
Magnetization, μB per cell: 0.0

***

The relative energies come out as a 136; b 0, with values in meV per atom.

***

a:
The following is a PBE calculation of an optimized crystal structure of TaTl3O, from Alexandria.

Cell lengths 4.7888, 4.7888, 4.7888 Å; angles 90.00, 90.00, 90.00 degrees
With the nearest neighbours (Å) after each atom.
Space group Pm-3m (No. 221)
Inequivalent atoms, fractional coordinates:
Ta  0.0000  0.0000  0.0000 [1 per cell]  12 Tl 3.39
Tl  0.0000  0.5000  0.5000 [3 per cell]  2 O 2.39
O  0.5000  0.5000  0.5000 [1 per cell]  6 Tl 2.39

Computed properties:
Magnetization, μB per cell: 0.0

***

b:
The following is a PBE calculation of an optimized crystal structure of TaTl3O, from Alexandria.

Cell lengths 5.5263, 5.5263, 5.5263 Å; angles 90.00, 90.00, 90.00 degrees
With the nearest neighbours (Å) after each atom.
Space group Pm-3m (No. 221)
Inequivalent atoms, fractional coordinates:
Ta  0.0000  0.0000  0.0000 [1 per cell]  6 Tl 2.76
Tl  0.0000  0.0000  0.5000 [3 per cell]  2 Ta 2.76
O  0.5000  0.5000  0.5000 [1 per cell]  12 Tl 3.91

Computed properties:
Magnetization, μB per cell: 1.1

***

The relative energies come out as a 0; b 514, with values in meV per atom.